1.
# LiSe2F PBE-GGA relaxed
# Energy above the most stable polymorph in this dataset = 11.08 kcal/mol of atoms
# Calculated total energy = -3.160 eV/atom
# Energy relative to the elements, uncorrected = -1.9 eV/f.u.
data_LiSe2F
_chemical_formula_sum 'Li3 Se6 F3'
_cell_length_a 4.0857
_cell_length_b 4.0857
_cell_length_c 18.7622
_cell_angle_alpha 90.00
_cell_angle_beta 90.00
_cell_angle_gamma 120.00
_symmetry_space_group_name_H-M 'R -3 m'
_symmetry_Int_Tables_number 166
_symmetry_space_group_name_Hall '-R 3 2"'
loop_
_atom_site_label
_atom_site_type_symbol
_atom_site_fract_x
_atom_site_fract_y
_atom_site_fract_z
Li1 Li 0.0000 0.0000 0.0000
Se1 Se 0.0000 0.0000 0.3877
F1 F 0.0000 0.0000 0.5000

=====

2.
# Li4SeF PBE-GGA relaxed
# Calculated total energy = -3.605 eV/atom
# Energy relative to the elements, uncorrected = -8.6 eV/f.u.
data_Li4SeF
_chemical_formula_sum 'Li4 Se1 F1'
_cell_length_a 3.974
_cell_length_b 4.336
_cell_length_c 6.104
_cell_angle_alpha 69.52
_cell_angle_beta 89.92
_cell_angle_gamma 89.98
_symmetry_space_group_name_H-M 'P 1'
_symmetry_Int_Tables_number 1
_symmetry_space_group_name_Hall 'P 1'
loop_
_atom_site_label
_atom_site_type_symbol
_atom_site_fract_x
_atom_site_fract_y
_atom_site_fract_z
Li1 Li 0.000 0.000 0.000
Li2 Li 0.000 0.254 0.425
Li3 Li 0.500 0.777 0.425
Li4 Li 0.501 0.543 0.919
Se1 Se 0.500 0.147 0.708
F1 F 0.001 0.851 0.336

=====

3.
# LiSeF2 PBE-GGA relaxed
# Energy above the most stable polymorph in this dataset = 9.44 kcal/mol of atoms
# Calculated total energy = -3.675 eV/atom
# Energy relative to the elements, uncorrected = -5.6 eV/f.u.
data_LiSeF2
_chemical_formula_sum 'Li4 Se4 F8'
_cell_length_a 5.207
_cell_length_b 5.207
_cell_length_c 8.078
_cell_angle_alpha 90.00
_cell_angle_beta 90.00
_cell_angle_gamma 90.00
_symmetry_space_group_name_H-M 'I -4 2 d'
_symmetry_Int_Tables_number 122
_symmetry_space_group_name_Hall 'I -4 2bw'
loop_
_atom_site_label
_atom_site_type_symbol
_atom_site_fract_x
_atom_site_fract_y
_atom_site_fract_z
Li1 Li 0.000 0.000 0.000
Se1 Se 0.000 0.000 0.500
F1 F 0.147 0.250 0.125

=====

no.,density of states at the Fermi level (states/eV/cell)
1,10.5
2,0.7
3,4.7